Density functional theory data (PBE-GGA) for crystalline Ho3MgCd2 at its relaxed geometry.

Offset from the most stable computed form, meV per atom: 6
Total magnetic moment, Bohr magnetons per cell: 0.001

Structure (POSCAR):
```
Ho3MgCd2
1.0
3.7604 0.0000 0.0000
0.0000 3.7604 0.0000
0.0000 0.0000 11.1206
Ho Mg Cd
3 1 2
Direct
0.0000 0.0000 0.0000
0.0000 0.0000 0.3311
0.0000 0.0000 0.6689
0.5000 0.5000 0.5000
0.5000 0.5000 0.1688
0.5000 0.5000 0.8312
```


Density functional theory data (PBE-GGA) for crystalline Ho3MgCd3 at its relaxed geometry.

Offset from the most stable computed form, meV per atom: 11
Total magnetic moment, Bohr magnetons per cell: 0.784

Structure (POSCAR):
```
Ho3MgCd3
1.0
5.1753 -5.3105 0.0000
5.1753 5.3105 0.0000
-0.0136 0.0000 6.8880
Ho Mg Cd
6 2 6
Direct
0.0025 0.0025 0.2493
0.0034 0.4963 0.7496
0.4963 0.0034 0.7496
0.5037 0.9966 0.2504
0.9966 0.5037 0.2504
0.9975 0.9975 0.7507
0.3288 0.3288 0.0080
0.6712 0.6712 0.9920
0.2617 0.7383 0.0000
0.2858 0.7142 0.5000
0.2879 0.2879 0.4945
0.7121 0.7121 0.5055
0.7142 0.2858 0.5000
0.7383 0.2617 0.0000
```


Density functional theory data (PBE-GGA) for crystalline Ho4Mg3Cd at its relaxed geometry.

Offset from the most stable computed form, meV per atom: 0
Total magnetic moment, Bohr magnetons per cell: 0.000

Structure (POSCAR):
```
Ho4Mg3Cd
1.0
3.7692 0.0000 0.0000
0.0000 3.7692 0.0000
0.0000 0.0000 15.0111
Ho Mg Cd
4 3 1
Direct
0.0000 0.0000 0.1227
0.0000 0.0000 0.3737
0.0000 0.0000 0.6263
0.0000 0.0000 0.8773
0.5000 0.5000 0.2495
0.5000 0.5000 0.5000
0.5000 0.5000 0.7505
0.5000 0.5000 0.0000
```


Density functional theory data (PBE-GGA) for crystalline Ho2Mg3Cd4 at its relaxed geometry.

Offset from the most stable computed form, meV per atom: 51
Total magnetic moment, Bohr magnetons per cell: 0.000

Structure (POSCAR):
```
Ho2Mg3Cd4
1.0
3.0739 -8.6300 0.0000
3.0739 8.6300 0.0000
0.0000 0.0000 8.1512
Ho Mg Cd
4 6 8
Direct
0.0943 0.9057 0.8952
0.4057 0.5943 0.3952
0.5943 0.4057 0.6048
0.9057 0.0943 0.1048
0.0000 0.0000 0.5000
0.0110 0.4890 0.7500
0.4890 0.0110 0.2500
0.5000 0.5000 0.0000
0.5110 0.9890 0.7500
0.9890 0.5110 0.2500
0.1657 0.8343 0.5227
0.1812 0.3188 0.7500
0.3188 0.1812 0.2500
0.3343 0.6657 0.0227
0.6657 0.3343 0.9773
0.6812 0.8188 0.7500
0.8188 0.6812 0.2500
0.8343 0.1657 0.4773
```


Density functional theory data (PBE-GGA) for crystalline NaHoMgCd at its relaxed geometry.

Calculated total energy, eV for the cell shown: -8.51
Total magnetic moment, Bohr magnetons per cell: 0.000

Structure (POSCAR):
```
NaHoMgCd
1.0
0.0000 3.6559 3.6559
3.6559 0.0000 3.6559
3.6559 3.6559 0.0000
Na Ho Mg Cd
1 1 1 1
Direct
0.0000 0.0000 0.0000
0.7500 0.7500 0.7500
0.2500 0.2500 0.2500
0.5000 0.5000 0.5000
```


Density functional theory data (PBE-GGA) for crystalline HoMgCdPb at its relaxed geometry.

Offset from the most stable computed form, meV per atom: 115
Total magnetic moment, Bohr magnetons per cell: 0.000

Structure (POSCAR):
```
HoMgCdPb
1.0
0.0000 3.6967 3.6967
3.6967 0.0000 3.6967
3.6967 3.6967 0.0000
Ho Mg Cd Pb
1 1 1 1
Direct
0.0000 0.0000 0.0000
0.5000 0.5000 0.5000
0.2500 0.2500 0.2500
0.7500 0.7500 0.7500
```